A plane-wave DFT calculation with GGA-PBEsol was carried out for a relaxed KCaY2 crystal.

Calculated total energy: -4.0363 eV per atom
DFT formation energy: 191.4 meV per atom
Total magnetization: 0.0 Bohr magnetons per cell

a = 3.6775 Å, b = 3.6775 Å, c = 11.5392 Å
α = 90.00°, β = 90.02°, γ = 90.00°
Fractional coordinates of all 4 atoms:
K1 0.0000 0.0000 0.0000
Ca1 0.5031 0.5000 0.6979
Y1 0.0032 0.0000 0.4756
Y2 0.5029 0.5000 0.2818